No. 1
Compound: TiAlB2Rh
Source: Alexandria
Functional: PBE
Structure: optimized geometry

```
TiAlB2Rh
1.0
4.1059 0.0000 0.0000
0.0000 4.6599 0.0000
0.0000 0.0000 4.1059
B Ti Rh Al
2 1 1 1
Direct
0.5000 0.0000 0.0000
0.0000 0.0000 0.5000
0.0000 0.0000 0.0000
0.0000 0.5000 0.0000
0.5000 0.5000 0.5000
```

* E_form: 1.18 eV/atom
* electronic total energy: -5.287 eV per atom


No. 2
Compound: Li2ScSb2
Source: Alexandria
Functional: PBE
Structure: optimized geometry

```
Li2ScSb2
1.0
3.8763 0.0000 0.0000
0.0000 3.8763 0.0000
1.9382 1.9382 7.1898
Sb Li Sc
2 2 1
Direct
0.6096 0.6096 0.7808
0.3904 0.3904 0.2192
0.7500 0.2500 0.5000
0.2500 0.7500 0.5000
0.0000 0.0000 0.0000
```

* formation energy without anion corrections: -2.5 eV/f.u.
* energy relative to the lowest polymorph listed for this composition: 0.0000 eV/atom
* electronic total energy: -4.175 eV per atom